[1]
Density functional theory data (GGA-PBE) for a geometry-optimized V2CrGa structure.

a = 3.067 Å, b = 3.067 Å, c = 5.666 Å
α = 90.00°, β = 90.00°, γ = 90.00°
Atoms (fractional coordinates):
V 0.000 0.000 0.334
V 0.500 0.500 0.574
Cr 0.000 0.000 0.806
Ga 0.500 0.500 0.064

## Properties
E_tot ... -7.808 eV per atom
Formation energy ... -86 meV per atom
Density of states at the Fermi level ... 3.57 states/eV/f.u.

[2]
Density functional theory data (GGA-PBE) for a geometry-optimized V5Cr2Ga structure.

a = 6.043 Å, b = 6.043 Å, c = 7.376 Å
α = 114.18°, β = 114.18°, γ = 90.00°
Atoms (fractional coordinates):
Cr 0.843 0.657 0.000
Cr 0.157 0.343 0.000
Cr 0.657 0.157 0.000
Cr 0.343 0.843 0.000
V 0.993 0.493 0.303
V 0.493 0.310 0.303
V 0.690 0.190 0.697
V 0.000 0.000 0.000
V 0.310 0.810 0.303
V 0.507 0.690 0.697
V 0.190 0.007 0.697
V 0.500 0.500 0.000
V 0.810 0.993 0.303
V 0.007 0.507 0.697
Ga 0.250 0.250 0.500
Ga 0.750 0.750 0.500

## Properties
E_tot ... -8.290 eV per atom
Formation energy ... 193 meV per atom
Density of states at the Fermi level ... 10.36 states/eV/f.u.

[3]
Density functional theory data (GGA-PBE) for a geometry-optimized V2CrGa structure.

a = 2.568 Å, b = 8.415 Å, c = 5.137 Å
α = 90.00°, β = 108.25°, γ = 90.00°
Atoms (fractional coordinates):
Cr 0.511 0.000 0.039
Cr 0.511 0.500 0.539
V 0.000 0.755 0.779
V 0.000 0.245 0.779
V 0.000 0.745 0.279
V 0.000 0.255 0.279
Ga 0.448 0.000 0.529
Ga 0.448 0.500 0.029

## Properties
E_tot ... -7.776 eV per atom
Formation energy ... -54 meV per atom
Density of states at the Fermi level ... 3.88 states/eV/f.u.

[4]
Density functional theory data (GGA-PBE) for a geometry-optimized V2CrGa structure.

a = 2.576 Å, b = 4.206 Å, c = 4.972 Å
α = 90.00°, β = 100.02°, γ = 90.00°
Atoms (fractional coordinates):
V 0.144 0.000 0.148
V 0.877 0.500 0.401
Ga 0.578 0.000 0.658
Cr 0.389 0.500 0.931

## Properties
E_tot ... -7.794 eV per atom
Formation energy ... -72 meV per atom
Density of states at the Fermi level ... 3.78 states/eV/f.u.

[5]
Density functional theory data (GGA-PBE) for a geometry-optimized V2CrGa2 structure.

a = 4.130 Å, b = 8.697 Å, c = 5.254 Å
α = 130.72°, β = 90.00°, γ = 103.73°
Atoms (fractional coordinates):
Cr 0.300 0.601 0.937
Cr 0.700 0.399 0.063
Ga 0.295 0.591 0.415
Ga 0.705 0.409 0.585
Ga 0.499 0.999 0.257
Ga 0.501 0.001 0.743
V 0.096 0.192 0.154
V 0.112 0.224 0.694
V 0.888 0.776 0.306
V 0.904 0.808 0.846

## Properties
E_tot ... -6.884 eV per atom
Formation energy ... -101 meV per atom
Density of states at the Fermi level ... 4.11 states/eV/f.u.
Energy above the most stable polymorph in this dataset ... 0.00 kJ/mol of atoms

[6]
Density functional theory data (GGA-PBE) for a geometry-optimized VCrGa structure.

a = 2.587 Å, b = 4.184 Å, c = 4.184 Å
α = 120.00°, β = 90.00°, γ = 90.00°
Atoms (fractional coordinates):
Ga 0.679 0.333 0.667
Cr 0.036 0.000 0.000
V 0.286 0.667 0.333

## Properties
E_tot ... -7.357 eV per atom
Formation energy ... -101 meV per atom
Density of states at the Fermi level ... 1.26 states/eV/f.u.
Energy above the most stable polymorph in this dataset ... 5.78 kJ/mol of atoms

[7]
Density functional theory data (GGA-PBE) for a geometry-optimized VCrGa structure.

a = 3.092 Å, b = 3.092 Å, c = 4.709 Å
α = 70.84°, β = 70.84°, γ = 90.00°
Atoms (fractional coordinates):
V 0.401 0.970 0.675
Cr 0.041 0.610 0.395
Ga 0.718 0.287 0.041

## Properties
E_tot ... -7.417 eV per atom
Formation energy ... -161 meV per atom
Density of states at the Fermi level ... 1.28 states/eV/f.u.
Energy above the most stable polymorph in this dataset ... 0.00 kJ/mol of atoms

[8]
Density functional theory data (GGA-PBE) for a geometry-optimized V5CrGa2 structure.

a = 4.337 Å, b = 4.337 Å, c = 6.497 Å
α = 109.50°, β = 109.50°, γ = 90.00°
Atoms (fractional coordinates):
V 0.884 0.384 0.768
V 0.500 0.500 0.000
V 0.116 0.616 0.232
V 0.384 0.884 0.768
V 0.616 0.116 0.232
Cr 0.000 0.000 0.000
Ga 0.750 0.750 0.501
Ga 0.250 0.250 0.499

## Properties
E_tot ... -7.815 eV per atom
Formation energy ... -157 meV per atom
Density of states at the Fermi level ... 6.59 states/eV/f.u.

[9]
Density functional theory data (GGA-PBE) for a geometry-optimized VCrGa structure.

a = 2.501 Å, b = 2.501 Å, c = 7.158 Å
α = 100.06°, β = 100.06°, γ = 90.00°
Atoms (fractional coordinates):
Cr 0.947 0.947 0.894
Ga 0.128 0.128 0.256
V 0.775 0.775 0.551

## Properties
E_tot ... -6.683 eV per atom
Formation energy ... 573 meV per atom
Density of states at the Fermi level ... 3.60 states/eV/f.u.
Energy above the most stable polymorph in this dataset ... 70.82 kJ/mol of atoms

[10]
Density functional theory data (GGA-PBE) for a geometry-optimized VCr2Ga structure.

a = 3.010 Å, b = 3.010 Å, c = 5.795 Å
α = 90.00°, β = 90.00°, γ = 90.00°
Atoms (fractional coordinates):
Cr 0.000 0.000 0.238
Cr 0.000 0.000 0.762
V 0.500 0.500 0.000
Ga 0.500 0.500 0.500

## Properties
E_tot ... -7.876 eV per atom
Formation energy ... -28 meV per atom
Density of states at the Fermi level ... 4.39 states/eV/f.u.

[11]
Density functional theory data (GGA-PBE) for a geometry-optimized V7Cr2Ga2 structure.

a = 5.673 Å, b = 5.358 Å, c = 5.673 Å
α = 90.00°, β = 105.24°, γ = 90.00°
Atoms (fractional coordinates):
V 0.000 0.738 0.500
V 0.500 0.748 0.500
V 0.000 0.000 0.000
V 0.500 0.262 0.000
V 0.000 0.262 0.500
V 0.500 0.738 0.000
V 0.500 0.252 0.500
Cr 0.729 0.000 0.271
Cr 0.271 0.000 0.729
Ga 0.175 0.500 0.175
Ga 0.825 0.500 0.825

## Properties
E_tot ... -7.593 eV per atom
Formation energy ... 510 meV per atom
Density of states at the Fermi level ... 10.15 states/eV/f.u.

[12]
Density functional theory data (GGA-PBE) for a geometry-optimized V3CrGa2 structure.

a = 4.094 Å, b = 5.202 Å, c = 9.244 Å
α = 79.89°, β = 63.71°, γ = 66.68°
Atoms (fractional coordinates):
V 0.078 0.342 0.750
V 0.922 0.658 0.250
V 0.266 0.000 0.234
V 0.734 0.000 0.766
V 0.579 0.342 0.250
V 0.421 0.658 0.750
Ga 0.838 0.324 0.500
Ga 0.162 0.676 0.500
Ga 0.500 0.000 0.500
Ga 0.000 0.000 0.000
Cr 0.318 0.360 0.000
Cr 0.682 0.640 0.000

## Properties
E_tot ... -7.275 eV per atom
Formation energy ... -103 meV per atom
Density of states at the Fermi level ... 4.91 states/eV/f.u.
Energy above the most stable polymorph in this dataset ... 2.91 kJ/mol of atoms